[1]
First-principles (GGA-PBE) data for a geometry-optimized SrMnNi2 structure, as listed in Alexandria via LeMat-Bulk.

**N(E_F)**: 2.8 states/eV/f.u.
**Energy relative to the elements**: 1.62 eV/f.u.

Cell lengths 4.628, 4.628, 4.628 Å; angles 60.00, 60.00, 60.00 degrees
Last column: magnetic moment on the atom in μB.
Positions (direct):
Sr1 0.500 0.500 0.500  -0.04
Ni1 0.750 0.750 0.750  0.33
Ni2 0.250 0.250 0.250  0.33
Mn1 0.000 0.000 0.000  3.84


[2]
First-principles (GGA-PBE) data for a geometry-optimized La2SmMg5 structure, as listed in Alexandria via LeMat-Bulk.

**N(E_F)**: 8.5 states/eV/f.u.
**Energy relative to the elements**: -0.75 eV/f.u.

Cell lengths 5.286, 5.286, 8.909 Å; angles 107.26, 107.26, 90.00 degrees
Positions (direct):
La1 0.739 0.739 0.478
Mg1 0.387 0.887 0.774
Sm1 0.000 0.000 0.000
La2 0.261 0.261 0.522
Mg2 0.500 0.500 0.000
Mg3 0.113 0.613 0.226
Mg4 0.613 0.113 0.226
Mg5 0.887 0.387 0.774


[3]
First-principles (GGA-PBE) data for a geometry-optimized TiCd2Sn structure, as listed in Alexandria via LeMat-Bulk.

**N(E_F)**: 1.8 states/eV/f.u.
**Energy relative to the elements**: 0.91 eV/f.u.

Cell lengths 8.046, 8.046, 6.362 Å; angles 50.78, 50.78, 90.00 degrees
Positions (direct):
Ti1 0.500 0.500 0.000
Sn1 0.000 0.000 0.000
Cd1 0.622 0.125 0.250
Cd2 0.875 0.872 0.750
Cd3 0.128 0.625 0.250
Sn2 0.750 0.250 0.500
Cd4 0.375 0.378 0.750
Ti2 0.250 0.750 0.500


[4]
First-principles (GGA-PBE) data for a geometry-optimized ReSi structure, as listed in Alexandria via LeMat-Bulk.

**N(E_F)**: 0.9 states/eV/f.u.
**Raw formation energy**: -18 kJ per mole of atoms

Cell lengths 3.198, 3.198, 3.261 Å; angles 90.00, 90.00, 120.00 degrees
Positions (direct):
Re1 0.000 0.000 0.000
Si1 0.667 0.333 0.500


[5]
First-principles (GGA-PBE) data for a geometry-optimized CsBi4 structure, as listed in Alexandria via LeMat-Bulk.

**N(E_F)**: 5.6 states/eV/f.u.
**Energy relative to the elements**: 6.95 eV/f.u.

Cell lengths 6.199, 6.199, 6.199 Å; angles 90.00, 90.00, 90.00 degrees
Positions (direct):
Bi1 0.500 0.500 0.000
Cs1 0.500 0.500 0.500
Bi2 0.000 0.500 0.500
Bi3 0.000 0.000 0.000
Bi4 0.500 0.000 0.500


[6]
First-principles (GGA-PBE) data for a geometry-optimized Pm3Y6Th2 structure, as listed in Alexandria via LeMat-Bulk.

**N(E_F)**: 16.5 states/eV/f.u.
**Energy relative to the elements**: 2.35 eV/f.u.

Cell lengths 6.173, 6.211, 11.632 Å; angles 84.58, 79.05, 60.20 degrees
Positions (direct):
Y1 0.422 0.668 0.742
Pm1 0.665 0.670 0.000
Y2 0.910 0.668 0.258
Pm2 0.335 0.330 0.000
Y3 0.756 0.000 0.745
Y4 0.578 0.332 0.258
Pm3 0.000 0.000 0.000
Y5 0.090 0.332 0.742
Th1 0.837 0.325 0.500
Y6 0.244 0.000 0.255
Th2 0.163 0.675 0.500


Copy entry 5 word for word.
First-principles (GGA-PBE) data for a geometry-optimized CsBi4 structure, as listed in Alexandria via LeMat-Bulk.

**N(E_F)**: 5.6 states/eV/f.u.
**Energy relative to the elements**: 6.95 eV/f.u.

Cell lengths 6.199, 6.199, 6.199 Å; angles 90.00, 90.00, 90.00 degrees
Positions (direct):
Bi1 0.500 0.500 0.000
Cs1 0.500 0.500 0.500
Bi2 0.000 0.500 0.500
Bi3 0.000 0.000 0.000
Bi4 0.500 0.000 0.500


> The highest N(E_F) belongs to which entry?

Pm3Y6Th2